Entry 1:
Material: CuPPb
Method: DFT, PBE-GGA
State: relaxed

## Properties
- crystal system = orthorhombic
- calculated formation energy (meV per atom) = 237
- mass density (Mg/m³) = 8.06
- E (eV/atom) = -4.1679
- symmetry = Imm2, No. 44
- E above lowest polymorph (meV/atom) = 265

a = 6.1412 Å, b = 6.1412 Å, c = 6.1412 Å
α = 151.11°, β = 146.14°, γ = 45.09°
Closest atoms and distances in Å follow each position.
Fractional positions:
Cu  0.0000  0.0000  0.0000  4 P 2.41
P  0.4539  0.4539  0.0000  4 Cu 2.41
Pb  0.7131  0.7131  0.0000  1 P 2.94, 2 Pb 3.06, 1 Cu 3.25


Entry 2:
Material: Tl2Cd2F
Method: DFT, PBE-GGA
State: relaxed

## Properties
- crystal system = tetragonal
- mass density (Mg/m³) = 7.68
- E (eV/atom) = -2.1142
- symmetry = I4/mmm, No. 139
- E above lowest polymorph (meV/atom) = 80

a = 9.2525 Å, b = 9.2525 Å, c = 9.2525 Å
α = 155.01°, β = 155.01°, γ = 35.63°
Closest atoms and distances in Å follow each position.
Fractional positions:
Tl  0.0855  0.0855  0.0000  1 Tl 3.01, 4 F 3.21
Tl  0.9145  0.9145  0.0000  1 Tl 3.01, 4 F 3.21
Cd  0.2500  0.7500  0.5000  4 Cd 2.83
Cd  0.7500  0.2500  0.5000  4 Cd 2.83
F  0.5000  0.5000  0.0000  8 Tl 3.21


Entry 3:
Material: Er5Cd2
Method: DFT, PBE-GGA
State: relaxed

## Properties
- crystal system = monoclinic
- calculated formation energy (meV per atom) = -115
- mass density (Mg/m³) = 8.85
- E (eV/atom) = -3.6358
- symmetry = C2/c, No. 15

a = 8.8011 Å, b = 8.8011 Å, c = 6.7938 Å
α = 90.00°, β = 90.00°, γ = 49.18°
Closest atoms and distances in Å follow each position.
Fractional positions:
Er  0.0008  0.9992  0.7500  4 Cd 3.12-3.13, 6 Er 3.39-3.40
Er  0.2274  0.2304  0.7505  2 Cd 3.12-3.14, 4 Er 3.40-3.49
Er  0.2304  0.2274  0.2505  2 Cd 3.12-3.14, 4 Er 3.40-3.49
Er  0.2476  0.5624  0.4990  1 Cd 2.95
Er  0.4376  0.7524  0.0010  1 Cd 2.95
Er  0.5624  0.2476  0.9990  1 Cd 2.95
Er  0.7524  0.4376  0.5010  1 Cd 2.95
Er  0.7696  0.7726  0.7495  2 Cd 3.12-3.14, 4 Er 3.40-3.49
Er  0.7726  0.7696  0.2495  2 Cd 3.12-3.14, 4 Er 3.40-3.49
Er  0.9992  0.0008  0.2500  4 Cd 3.12-3.13, 6 Er 3.39-3.40
Cd  0.1429  0.6283  0.9994  5 Er 2.95-3.14
Cd  0.3717  0.8571  0.5006  5 Er 2.95-3.14
Cd  0.6283  0.1429  0.4994  5 Er 2.95-3.14
Cd  0.8571  0.3717  0.0006  5 Er 2.95-3.14


Entry 4:
Material: CoCS2Cl
Method: DFT, PBE-GGA
State: relaxed

## Properties
- crystal system = tetragonal
- mass density (Mg/m³) = 3.18
- E (eV/atom) = -3.7161
- symmetry = P4/mmm, No. 123
- E above lowest polymorph (meV/atom) = 280

a = 4.3713 Å, b = 4.3713 Å, c = 4.6601 Å
α = 90.00°, β = 90.00°, γ = 90.00°
Closest atoms and distances in Å follow each position.
Fractional positions:
Co  0.0000  0.0000  0.0000  4 S 2.19, 2 Cl 2.33
C  0.5000  0.5000  0.5000  4 Cl 3.09, 8 S 3.19
S  0.0000  0.5000  0.0000  2 Co 2.19
S  0.5000  0.0000  0.0000  2 Co 2.19
Cl  0.0000  0.0000  0.5000  2 Co 2.33